No. 1
{"formula": "Ac2Pr3Ga2", "functional": "GGA-PBE", "state": "optimized geometry", "cell": [[6.462, -2.172, 0.000], [6.462, 2.172, 0.000], [-3.833, 0.000, 8.426]], "species": ["Ac", "Ac", "Pr", "Pr", "Pr", "Ga", "Ga"], "frac_coords": [[0.155, 0.155, 0.310], [0.845, 0.845, 0.690], [0.375, 0.375, 0.059], [0.500, 0.500, 0.500], [0.625, 0.625, 0.941], [0.162, 0.162, 0.722], [0.838, 0.838, 0.278]], "sg": "C2/m, No. 12", "magmom_total_mub_per_fu": 0.000}

=====

No. 2
{"formula": "AcPr8Ga6", "functional": "GGA-PBE", "state": "optimized geometry", "cell": [[4.557, 2.631, 6.327], [-4.557, 2.631, 6.327], [0.000, -5.262, 6.327]], "species": ["Ac", "Pr", "Pr", "Pr", "Pr", "Pr", "Pr", "Pr", "Pr", "Ga", "Ga", "Ga", "Ga", "Ga", "Ga"], "frac_coords": [[0.000, 0.000, 0.000], [0.113, 0.445, 0.780], [0.220, 0.887, 0.555], [0.333, 0.333, 0.333], [0.445, 0.780, 0.113], [0.555, 0.220, 0.887], [0.667, 0.667, 0.667], [0.780, 0.113, 0.445], [0.887, 0.555, 0.220], [0.058, 0.716, 0.398], [0.284, 0.602, 0.942], [0.398, 0.058, 0.716], [0.602, 0.942, 0.284], [0.716, 0.398, 0.058], [0.942, 0.284, 0.602]], "sg": "R-3, No. 148", "magmom_total_mub_per_fu": 0.000}

=====

Energy of formation from the pure elements for the records above, in order: -0.27; -0.34 eV per atom